{
  "formula": "TaZnIr2",
  "functional": "PBE",
  "state": "optimized geometry",
  "total_energy_ev_per_atom": -8.098,
  "sg": "I-4m2 (119)",
  "n_ef_per_ev_cell": 2.0,
  "magmom_total_mub_per_fu": 0.0,
  "formation_energy_ev_per_atom": -0.39,
  "lattice": [[-1.898, 1.898, 4.211], [1.898, -1.898, 4.211], [1.898, 1.898, -4.211]],
  "species": ["Ta", "Zn", "Ir", "Ir"],
  "fractional_positions": [[0.000, 0.000, 0.000], [0.750, 0.250, 0.500], [0.250, 0.750, 0.500], [0.500, 0.500, 0.000]]
}

{
  "formula": "GaTePO2",
  "functional": "PBE",
  "state": "optimized geometry",
  "polymorph_energy_mev_per_atom": 49,
  "total_energy_ev_per_atom": -4.487,
  "sg": "P4/mmm (123)",
  "raw_formation_energy_ev_per_atom": -0.188,
  "n_ef_per_ev_cell": 2.4,
  "magmom_total_mub_per_fu": 0.3,
  "lattice": [[3.868, 0.000, 0.000], [0.000, 3.868, 0.000], [0.000, 0.000, 5.032]],
  "species": ["Ga", "Te", "P", "O", "O"],
  "fractional_positions": [[0.000, 0.000, 0.000], [0.500, 0.500, 0.500], [0.000, 0.000, 0.500], [0.000, 0.500, 0.000], [0.500, 0.000, 0.000]]
}

{
  "formula": "Cs4PuPa3O12",
  "functional": "PBE",
  "state": "optimized geometry",
  "total_energy_ev_per_atom": -8.180,
  "sg": "Im-3m (229)",
  "raw_formation_energy_ev_per_atom": -2.894,
  "n_ef_per_ev_cell": 11.7,
  "magmom_total_mub_per_fu": 3.0,
  "lattice": [[-4.438, 4.438, 4.438], [4.438, -4.438, 4.438], [4.438, 4.438, -4.438]],
  "species": ["Cs", "Cs", "Cs", "Cs", "Pu", "Pa", "Pa", "Pa", "O", "O", "O", "O", "O", "O", "O", "O", "O", "O", "O", "O"],
  "fractional_positions": [[0.000, 0.000, 0.500], [0.000, 0.500, 0.000], [0.500, 0.000, 0.000], [0.500, 0.500, 0.500], [0.000, 0.000, 0.000], [0.000, 0.500, 0.500], [0.500, 0.000, 0.500], [0.500, 0.500, 0.000], [0.000, 0.248, 0.248], [0.000, 0.752, 0.752], [0.248, 0.000, 0.248], [0.248, 0.248, 0.000], [0.250, 0.500, 0.750], [0.250, 0.750, 0.500], [0.500, 0.250, 0.750], [0.500, 0.750, 0.250], [0.750, 0.250, 0.500], [0.750, 0.500, 0.250], [0.752, 0.000, 0.752], [0.752, 0.752, 0.000]]
}

{
  "formula": "HRuIO2",
  "functional": "PBE",
  "state": "optimized geometry",
  "polymorph_energy_mev_per_atom": 0,
  "total_energy_ev_per_atom": -4.866,
  "sg": "P4/mmm (123)",
  "n_ef_per_ev_cell": 4.3,
  "magmom_total_mub_per_fu": 0.6,
  "lattice": [[3.734, 0.000, 0.000], [0.000, 3.734, 0.000], [0.000, 0.000, 5.804]],
  "species": ["H", "Ru", "I", "O", "O"],
  "fractional_positions": [[0.000, 0.000, 0.000], [0.500, 0.500, 0.500], [0.500, 0.500, 0.000], [0.000, 0.500, 0.500], [0.500, 0.000, 0.500]]
}